1.
VASP calculation (GGA-PBE) on PbWCl6 after structural relaxation.

- Magnetic moment: 2.00 μB/f.u.
- D(E_F): 16.6 states/eV per cell
- Raw formation energy: -880 meV per atom

Cell: 8.428 10.404 7.277 Å, 90.00 116.29 90.00°
Fractional positions:
Pb 0.000 0.000 0.000
Pb 0.500 0.500 0.000
W 0.000 0.000 0.500
W 0.500 0.500 0.500
Cl 0.127 0.161 0.762
Cl 0.127 0.839 0.762
Cl 0.245 0.500 0.564
Cl 0.255 0.000 0.436
Cl 0.373 0.339 0.238
Cl 0.373 0.661 0.238
Cl 0.627 0.339 0.762
Cl 0.627 0.661 0.762
Cl 0.745 0.000 0.564
Cl 0.755 0.500 0.436
Cl 0.873 0.161 0.238
Cl 0.873 0.839 0.238


2.
VASP calculation (GGA-PBE) on KAl2Re after structural relaxation.

- Magnetic moment: 0.00 μB/f.u.
- D(E_F): 5.1 states/eV per cell
- Energy of formation: 357 meV/atom
- Relative energy among the computed polymorphs: 120 meV/atom

Cell: 8.676 2.768 7.295 Å, 90.00 94.14 90.00°
Fractional positions:
K 0.000 0.000 0.000
K 0.500 0.500 0.000
Al 0.233 0.000 0.660
Al 0.267 0.500 0.340
Al 0.733 0.500 0.660
Al 0.767 0.000 0.340
Re 0.000 0.500 0.500
Re 0.500 0.000 0.500


3.
VASP calculation (GGA-PBE) on SiAgSb2 after structural relaxation.

- Magnetic moment: 0.00 μB/f.u.
- D(E_F): 10.3 states/eV per cell
- Raw formation energy: 322 meV per atom

Cell: 3.322 3.322 28.968 Å, 90.00 90.00 120.00°
Fractional positions:
Si 0.000 0.000 0.000
Si 0.333 0.667 0.667
Si 0.667 0.333 0.333
Ag 0.000 0.000 0.270
Ag 0.333 0.667 0.937
Ag 0.667 0.333 0.603
Sb 0.000 0.000 0.524
Sb 0.000 0.000 0.742
Sb 0.333 0.667 0.190
Sb 0.333 0.667 0.408
Sb 0.667 0.333 0.075
Sb 0.667 0.333 0.857


4.
VASP calculation (GGA-PBE) on NaHg2Bi2 after structural relaxation.

- Magnetic moment: 0.00 μB/f.u.
- D(E_F): 4.3 states/eV per cell
- Energy of formation: -29 meV/atom
- Relative energy among the computed polymorphs: 91 meV/atom

Cell: 8.339 8.339 4.158 Å, 90.00 90.00 90.00°
Fractional positions:
Na 0.000 0.000 0.000
Na 0.500 0.500 0.000
Hg 0.142 0.358 0.000
Hg 0.358 0.858 0.000
Hg 0.642 0.142 0.000
Hg 0.858 0.642 0.000
Bi 0.156 0.656 0.500
Bi 0.344 0.156 0.500
Bi 0.656 0.844 0.500
Bi 0.844 0.344 0.500


- Which value of magnetic moment does entry 3 give?
  0.00 μB/f.u.


- Which value of D(E_F) does entry 3 give?
  10.3 states/eV per cell


- Which formula does entry 3 have?
  SiAgSb2


- magnetic moment of number 3 (SiAgSb2)?
  0.00 μB/f.u.